Record 1
Here is a relaxed structure of Li3Ge2Pd4 from Alexandria via LeMat-Bulk. Energies are from PBE-GGA.

The value obtained for the excess energy over the best structure of this formula in the dataset is 0 meV/atom. The energy of formation from the pure elements is -583 meV per atom. For the volume, the calculation gives 127 Å³ per cell. The calculation puts the total energy at -4.56 eV/atom. Its spin magnetization is 0.0000 μB/atom.

The space group is P-3m1 (No. 164) and the conventional cell measures 4.2656, 4.2656 and 8.0713 Å, with angles of 90.00, 90.00 and 120.00 degrees. The asymmetric unit holds Li at (0.0000, 0.0000, 0.0000), Li at (0.3333, 0.6667, 0.4457), Ge at (0.3333, 0.6667, 0.7797), Pd at (0.0000, 0.0000, 0.3190) and Pd at (0.3333, 0.6667, 0.1063).

Record 2
Here is a relaxed structure of Li7GePd4 from Alexandria via LeMat-Bulk. Energies are from PBE-GGA.

The energy of formation from the pure elements is -284 meV per atom. For the volume, the calculation gives 366 Å³ per cell. The calculation puts the total energy at -3.52 eV/atom. Its spin magnetization is 0.0000 μB/atom.

The space group is C2/m (No. 12) and the conventional cell measures 12.4978, 4.5828 and 7.0636 Å, with angles of 90.00, 115.25 and 90.00 degrees. The asymmetric unit holds Li at (0.0000, 0.0000, 0.0000), Li at (0.0800, 0.0000, 0.4428), Li at (0.1669, 0.5000, 0.3852), Li at (0.2160, 0.0000, 0.8747), Ge at (0.0000, 0.5000, 0.0000), Pd at (0.0649, 0.5000, 0.7191) and Pd at (0.2079, 0.0000, 0.2307).

Record 3
Here is a relaxed structure of Li3Ge3Pd from Alexandria via LeMat-Bulk. Energies are from PBE-GGA.

The energy of formation from the pure elements is -273 meV per atom. For the volume, the calculation gives 510 Å³ per cell. The calculation puts the total energy at -3.81 eV/atom. Its spin magnetization is 0.0000 μB/atom.

The space group is C2/m (No. 12) and the conventional cell measures 7.3706, 11.2811 and 6.7015 Å, with angles of 90.00, 113.86 and 90.00 degrees. The asymmetric unit holds Li at (0.0000, 0.1112, 0.0000), Li at (0.0000, 0.2268, 0.5000), Li at (0.0503, 0.5000, 0.8145), Ge at (0.1853, 0.3101, 0.1194), Ge at (0.2202, 0.0000, 0.3994) and Pd at (0.1473, 0.0000, 0.7289).

Record 4
Here is a relaxed structure of LiGe2Pd8 from Alexandria via LeMat-Bulk. Energies are from PBE-GGA.

The value obtained for the excess energy over the best structure of this formula in the dataset is 43 meV/atom. The energy of formation from the pure elements is -349 meV per atom. For the volume, the calculation gives 347 Å³ per cell. The calculation puts the total energy at -5.14 eV/atom. Its spin magnetization is 0.0000 μB/atom.

The space group is C2/m (No. 12) and the conventional cell measures 7.2828, 11.0590 and 4.5639 Å, with angles of 90.00, 109.37 and 90.00 degrees. The asymmetric unit holds Li at (0.0000, 0.0000, 0.0000), Ge at (0.0000, 0.3148, 0.5000), Pd at (0.0000, 0.2287, 0.0000), Pd at (0.1200, 0.5000, 0.8207) and Pd at (0.2021, 0.1220, 0.6022).

Record 5
Here is a relaxed structure of Li5GePd4 from Alexandria via LeMat-Bulk. Energies are from PBE-GGA.

The energy of formation from the pure elements is -484 meV per atom. For the volume, the calculation gives 276 Å³ per cell. The calculation puts the total energy at -3.98 eV/atom. Its spin magnetization is 0.0000 μB/atom.

The space group is C2/m (No. 12) and the conventional cell measures 12.6398, 4.2965 and 5.2771 Å, with angles of 90.00, 105.34 and 90.00 degrees. The asymmetric unit holds Li at (0.0000, 0.0000, 0.0000), Li at (0.1045, 0.5000, 0.8976), Li at (0.2044, 0.0000, 0.3008), Ge at (0.0000, 0.0000, 0.5000), Pd at (0.0965, 0.5000, 0.3966) and Pd at (0.1980, 0.0000, 0.7919).

Record 6
Here is a relaxed structure of Li2Ge5Pd12 from Alexandria via LeMat-Bulk. Energies are from PBE-GGA.

The energy of formation from the pure elements is -377 meV per atom. For the volume, the calculation gives 640 Å³ per cell. The calculation puts the total energy at -5.07 eV/atom. Its spin magnetization is 0.0000 μB/atom.

The space group is C2/m (No. 12) and the conventional cell measures 14.1706, 5.4747 and 8.6485 Å, with angles of 90.00, 107.59 and 90.00 degrees. The asymmetric unit holds Li at (0.0000, 0.2479, 0.0000), Ge at (0.0000, 0.0000, 0.5000), Ge at (0.1560, 0.5000, 0.8560), Ge at (0.1764, 0.5000, 0.3388), Pd at (0.0030, 0.5000, 0.3409), Pd at (0.0991, 0.0000, 0.8095), Pd at (0.1643, 0.2513, 0.5739) and Pd at (0.1905, 0.2490, 0.1106).

Record 7
Here is a relaxed structure of Li8GePd2 from Alexandria via LeMat-Bulk. Energies are from PBE-GGA.

The energy of formation from the pure elements is -288 meV per atom. For the volume, the calculation gives 357 Å³ per cell. The calculation puts the total energy at -3.04 eV/atom. Its spin magnetization is 0.0000 μB/atom.

The space group is Cmmm (No. 65) and the conventional cell measures 7.8704, 10.8692 and 4.1785 Å, with angles of 90.00, 90.00 and 90.00 degrees. The asymmetric unit holds Li at (0.0000, 0.2455, 0.0000), Li at (0.1631, 0.5000, 0.0000), Li at (0.1680, 0.1304, 0.5000), Ge at (0.0000, 0.0000, 0.0000) and Pd at (0.0000, 0.3771, 0.5000).

Record 8
Here is a relaxed structure of LiGePd6 from Alexandria via LeMat-Bulk. Energies are from PBE-GGA.

The value obtained for the excess energy over the best structure of this formula in the dataset is 0 meV/atom. The energy of formation from the pure elements is -384 meV per atom. For the volume, the calculation gives 233 Å³ per cell. The calculation puts the total energy at -5.09 eV/atom. Its spin magnetization is 0.0000 μB/atom.

The space group is I4/mmm (No. 139) and the conventional cell measures 4.0613, 4.0613 and 14.1391 Å, with angles of 90.00, 90.00 and 90.00 degrees. The asymmetric unit holds Li at (0.0000, 0.0000, 0.0000), Ge at (0.0000, 0.0000, 0.5000), Pd at (0.0000, 0.0000, 0.2507) and Pd at (0.0000, 0.5000, 0.1108).

Record 9
Here is a relaxed structure of Li6Ge2Pd from Alexandria via LeMat-Bulk. Energies are from PBE-GGA.

The value obtained for the excess energy over the best structure of this formula in the dataset is 0 meV/atom. The energy of formation from the pure elements is -359 meV per atom. For the volume, the calculation gives 448 Å³ per cell. The calculation puts the total energy at -3.24 eV/atom. Its spin magnetization is 0.0000 μB/atom.

The space group is R-3m (No. 166, hexagonal axes) and the conventional cell measures 4.3994, 4.3994 and 26.7041 Å, with angles of 90.00, 90.00 and 120.00 degrees. The asymmetric unit holds Li at (0.0000, 0.0000, 0.0926), Li at (0.0000, 0.0000, 0.2023), Li at (0.0000, 0.0000, 0.3077), Ge at (0.0000, 0.0000, 0.4079) and Pd at (0.0000, 0.0000, 0.5000).

Record 10
Here is a relaxed structure of Li5GePd6 from Alexandria via LeMat-Bulk. Energies are from PBE-GGA.

The energy of formation from the pure elements is -529 meV per atom. For the volume, the calculation gives 324 Å³ per cell. The calculation puts the total energy at -4.31 eV/atom. Its spin magnetization is 0.0000 μB/atom.

The space group is C2/m (No. 12) and the conventional cell measures 13.4098, 5.9663 and 4.2655 Å, with angles of 90.00, 108.35 and 90.00 degrees. The asymmetric unit holds Li at (0.0000, 0.0000, 0.0000), Li at (0.1677, 0.0000, 0.6678), Li at (0.1681, 0.5000, 0.6682), Ge at (0.0000, 0.5000, 0.0000), Pd at (0.0000, 0.2520, 0.5000) and Pd at (0.1650, 0.2508, 0.1650).

Record 11
Here is a relaxed structure of LiGe2Pd3 from Alexandria via LeMat-Bulk. Energies are from PBE-GGA.

The value obtained for the excess energy over the best structure of this formula in the dataset is 0 meV/atom. The energy of formation from the pure elements is -434 meV per atom. For the volume, the calculation gives 360 Å³ per cell. The calculation puts the total energy at -4.89 eV/atom. Its spin magnetization is 0.0000 μB/atom.

The space group is Cmmm (No. 65) and the conventional cell measures 4.4297, 13.2559 and 6.1232 Å, with angles of 90.00, 90.00 and 90.00 degrees. The asymmetric unit holds Li at (0.0000, 0.1683, 0.0000), Ge at (0.0000, 0.1707, 0.5000), Ge at (0.0000, 0.5000, 0.0000), Ge at (0.0000, 0.5000, 0.5000), Pd at (0.0000, 0.0000, 0.2520) and Pd at (0.0000, 0.3381, 0.2511).

Record 12
Here is a relaxed structure of LiGe2Pd from Alexandria via LeMat-Bulk. Energies are from PBE-GGA.

The value obtained for the excess energy over the best structure of this formula in the dataset is 58 meV/atom. The energy of formation from the pure elements is -302 meV per atom. For the volume, the calculation gives 67 Å³ per cell. The calculation puts the total energy at -4.39 eV/atom. Its spin magnetization is 0.0000 μB/atom.

The space group is P4/mmm (No. 123) and the conventional cell measures 3.1632, 3.1632 and 6.6527 Å, with angles of 90.00, 90.00 and 90.00 degrees. The asymmetric unit holds Li at (0.0000, 0.0000, 0.0000), Ge at (0.5000, 0.5000, 0.2745) and Pd at (0.0000, 0.0000, 0.5000).